# 1
A geometry-optimized MgAl2Au7 structure. Source: the Alexandria database, functional PBE-GGA.

Lattice parameters (Å, degrees): 4.311 4.311 19.896 90.00 90.00 90.00
Space group I4/mmm (No. 139)
Inequivalent atoms, fractional coordinates:
Mg (0.000, 0.000, 0.000) (multiplicity 2)
Al (0.000, 0.000, 0.326) (multiplicity 4)
Au (0.000, 0.000, 0.500) (multiplicity 2)
Au (0.000, 0.500, 0.099) (multiplicity 8)
Au (0.000, 0.500, 0.250) (multiplicity 4)

Results
Uncorrected energy   -3.551 eV per atom
Energy relative to the elements   -0.3493 eV per atom

# 2
A geometry-optimized TlSiS2Cl structure. Source: the Alexandria database, functional PBE-GGA.

Lattice parameters (Å, degrees): 5.155 5.155 5.116 90.00 90.00 90.00
Space group P4/mmm (No. 123)
Inequivalent atoms, fractional coordinates:
Tl (0.000, 0.000, 0.000) (multiplicity 1)
Si (0.500, 0.500, 0.500) (multiplicity 1)
S (0.000, 0.500, 0.000) (multiplicity 2)
Cl (0.000, 0.000, 0.500) (multiplicity 1)

Results
Formation energy (no corrections)   0.669 eV/atom
Uncorrected energy   -2.909 eV per atom

- Which of these has the highest uncorrected energy?
  TlSiS2Cl